#P
A geometry-optimized Ba2Zn3In structure. Source: the Alexandria database, functional GGA-PBE.

Summary:
size of the total moment: 0.0 μB/f.u.
D(E_F): 0.7933 states/eV/atom
space-group type: No. 8

Cell lengths 6.3174, 6.3174, 8.1958 Å; angles 129.61, 129.61, 47.20 degrees
Closest atoms and distances in Å follow each position.
Atoms (fractional coordinates):
Ba 0.0000 0.0000 0.0000  9 Zn 3.40-3.79, 3 In 3.52-3.78
Ba 0.5057 0.5057 0.6119  7 Zn 3.41-3.73, 3 In 3.45-3.55
Zn 0.1804 0.1804 0.5686  3 Zn 2.87-2.89, 1 In 2.98
Zn 0.3178 0.3178 0.0277  2 Zn 2.89-3.00, 2 In 2.94
Zn 0.6780 0.6780 0.4010  3 Zn 2.87-3.00, 1 In 2.95
In 0.8217 0.8217 0.2138  4 Zn 2.94-2.98

#Q
A geometry-optimized Ba2Zn3In structure. Source: the Alexandria database, functional GGA-PBE.

Summary:
size of the total moment: 0.0 μB/f.u.
D(E_F): 0.8968 states/eV/atom
space-group type: No. 69

Cell lengths 9.6646, 9.5781, 6.6624 Å; angles 70.44, 69.05, 40.51 degrees
Closest atoms and distances in Å follow each position.
Atoms (fractional coordinates):
Ba 0.2357 0.7643 0.7643  10 Zn 3.51-3.69, 2 In 3.67
Ba 0.2500 0.2500 0.2500  8 Zn 3.62-3.66, 4 In 3.64
Ba 0.7500 0.7500 0.7500  8 Zn 3.62-3.66, 4 In 3.64
Ba 0.7643 0.2357 0.2357  10 Zn 3.51-3.69, 2 In 3.67
Zn 0.1648 0.1648 0.8352  2 Zn 2.77, 1 In 2.88
Zn 0.1678 0.6704 0.3296  2 Zn 2.71-2.77, 1 In 2.78
Zn 0.3296 0.8322 0.1678  2 Zn 2.71-2.77, 1 In 2.78
Zn 0.6704 0.1678 0.8322  2 Zn 2.71-2.77, 1 In 2.78
Zn 0.8322 0.3296 0.6704  2 Zn 2.71-2.77, 1 In 2.78
Zn 0.8352 0.8352 0.1648  2 Zn 2.77, 1 In 2.88
In 0.3368 0.3368 0.6632  3 Zn 2.78-2.88
In 0.6632 0.6632 0.3368  3 Zn 2.78-2.88

Which is most stable, and by how much? #P, by 7 meV/atom.

#P
A geometry-optimized Ba2ZnIn2 structure. Source: the Alexandria database, functional GGA-PBE.

Summary:
size of the total moment: 0.0 μB/f.u.
D(E_F): 0.8970 states/eV/atom
space-group type: No. 139

Cell lengths 10.6958, 10.6958, 10.6958 Å; angles 156.97, 156.97, 32.80 degrees
Closest atoms and distances in Å follow each position.
Atoms (fractional coordinates):
Ba 0.0961 0.0961 0.0000  4 Zn 3.61, 4 In 3.81, 1 Ba 3.94
Ba 0.9039 0.9039 0.0000  4 Zn 3.61, 4 In 3.81, 1 Ba 3.94
Zn 0.5000 0.5000 0.0000  8 Ba 3.61
In 0.2500 0.7500 0.5000  4 In 3.02
In 0.7500 0.2500 0.5000  4 In 3.02

#Q
A geometry-optimized Ba2ZnIn2 structure. Source: the Alexandria database, functional GGA-PBE.

Summary:
size of the total moment: 0.0 μB/f.u.
D(E_F): 0.8456 states/eV/atom
space-group type: No. 139

Cell lengths 6.4506, 6.4506, 6.4506 Å; angles 115.35, 115.35, 98.26 degrees
Closest atoms and distances in Å follow each position.
Atoms (fractional coordinates):
Ba 0.2500 0.7500 0.5000  4 In 3.52
Ba 0.7500 0.2500 0.5000  4 In 3.52
Zn 0.0000 0.0000 0.0000  2 In 2.83
In 0.3347 0.3347 0.0000  1 In 2.79, 1 Zn 2.83
In 0.6653 0.6653 0.0000  1 In 2.79, 1 Zn 2.83

Which is most stable, and by how much? #P, by 68 meV/atom.

#P
A geometry-optimized Ba2ZnIn2 structure. Source: the Alexandria database, functional GGA-PBE.

Summary:
size of the total moment: 0.0 μB/f.u.
D(E_F): 0.7821 states/eV/atom
space-group type: No. 127

Cell lengths 7.8758, 7.8758, 5.5863 Å; angles 90.00, 90.00, 90.00 degrees
Closest atoms and distances in Å follow each position.
Atoms (fractional coordinates):
Ba 0.1648 0.3352 0.0000  6 In 3.53-3.70, 1 Ba 3.67
Ba 0.3352 0.8352 0.0000  6 In 3.53-3.70, 1 Ba 3.67
Ba 0.6648 0.1648 0.0000  6 In 3.53-3.70, 1 Ba 3.67
Ba 0.8352 0.6648 0.0000  6 In 3.53-3.70, 1 Ba 3.67
Zn 0.0000 0.0000 0.5000  4 In 3.04
Zn 0.5000 0.5000 0.5000  4 In 3.04
In 0.1415 0.6415 0.5000  2 Zn 3.04, 1 In 3.15
In 0.3585 0.1415 0.5000  2 Zn 3.04, 1 In 3.15
In 0.6415 0.8585 0.5000  2 Zn 3.04, 1 In 3.15
In 0.8585 0.3585 0.5000  2 Zn 3.04, 1 In 3.15

#Q
A geometry-optimized Ba2ZnIn2 structure. Source: the Alexandria database, functional GGA-PBE.

Summary:
size of the total moment: 0.0 μB/f.u.
D(E_F): 0.8855 states/eV/atom
space-group type: No. 12

Cell lengths 6.5717, 6.5717, 12.3419 Å; angles 114.72, 114.72, 46.84 degrees
Closest atoms and distances in Å follow each position.
Atoms (fractional coordinates):
Ba 0.0875 0.0875 0.3850  6 In 3.57-3.76, 2 Zn 3.94
Ba 0.3181 0.3181 0.8346  4 Zn 3.52-3.69, 7 In 3.57-3.93
Ba 0.6819 0.6819 0.1654  4 Zn 3.52-3.69, 7 In 3.57-3.93
Ba 0.9125 0.9125 0.6150  6 In 3.57-3.76, 2 Zn 3.94
Zn 0.3670 0.3670 0.1447  4 In 2.87-3.11
Zn 0.6330 0.6330 0.8553  4 In 2.87-3.11
In 0.0912 0.0912 0.9447  3 Zn 2.97-3.11, 1 In 3.07
In 0.3830 0.3830 0.3839  1 Zn 2.87, 1 In 2.97
In 0.6170 0.6170 0.6161  1 Zn 2.87, 1 In 2.97
In 0.9088 0.9088 0.0553  3 Zn 2.97-3.11, 1 In 3.07

Which is most stable, and by how much? #Q, by 147 meV/atom.

#P
A geometry-optimized Ba4ZnIn structure. Source: the Alexandria database, functional GGA-PBE.

Summary:
size of the total moment: 0.0 μB/f.u.
D(E_F): 0.9033 states/eV/atom
space-group type: No. 123

Cell lengths 4.2385, 4.2385, 15.3445 Å; angles 90.00, 90.00, 90.00 degrees
Closest atoms and distances in Å follow each position.
Atoms (fractional coordinates):
Ba 0.0000 0.0000 0.1255  4 Zn 3.56, 1 Ba 3.85
Ba 0.0000 0.0000 0.8745  4 Zn 3.56, 1 Ba 3.85
Ba 0.5000 0.5000 0.3654  4 In 3.64
Ba 0.5000 0.5000 0.6346  4 In 3.64
Zn 0.5000 0.5000 0.0000  8 Ba 3.56
In 0.0000 0.0000 0.5000  8 Ba 3.64

#Q
A geometry-optimized Ba4ZnIn structure. Source: the Alexandria database, functional GGA-PBE.

Summary:
size of the total moment: 0.0 μB/f.u.
D(E_F): 1.6008 states/eV/atom
space-group type: No. 123

Cell lengths 5.9070, 5.9070, 8.4543 Å; angles 90.00, 90.00, 90.00 degrees
Closest atoms and distances in Å follow each position.
Atoms (fractional coordinates):
Ba 0.0000 0.5000 0.2491  2 Zn 3.63, 2 In 3.64
Ba 0.0000 0.5000 0.7509  2 Zn 3.63, 2 In 3.64
Ba 0.5000 0.0000 0.2491  2 Zn 3.63, 2 In 3.64
Ba 0.5000 0.0000 0.7509  2 Zn 3.63, 2 In 3.64
Zn 0.0000 0.0000 0.0000  8 Ba 3.63
In 0.5000 0.5000 0.5000  8 Ba 3.64

#R
A geometry-optimized Ba4ZnIn structure. Source: the Alexandria database, functional GGA-PBE.

Summary:
size of the total moment: 0.0 μB/f.u.
D(E_F): 1.4146 states/eV/atom
space-group type: No. 216

Cell lengths 7.3129, 7.3129, 7.3129 Å; angles 60.00, 60.00, 60.00 degrees
Closest atoms and distances in Å follow each position.
Atoms (fractional coordinates):
Ba 0.1246 0.1246 0.1246  6 Ba 3.64-3.67
Ba 0.1246 0.1246 0.6263  6 Ba 3.64-3.67
Ba 0.1246 0.6263 0.1246  6 Ba 3.64-3.67
Ba 0.6263 0.1246 0.1246  6 Ba 3.64-3.67
Zn 0.5000 0.5000 0.5000  12 Ba 4.29, 4 In 4.48
In 0.7500 0.7500 0.7500  12 Ba 4.29, 4 Zn 4.48

Which is most stable, and by how much? #P, by 112 meV/atom.